SrFe2BRh after structural relaxation. Source: Alexandria via LeMat-Bulk, functional PBE-GGA.

Cell lengths 4.813, 4.813, 4.109 Å; angles 90.00, 90.00, 90.00 degrees
Element x y z (fractional)
Sr  0.000  0.000  0.000
Fe  0.000  0.500  0.500
Fe  0.500  0.000  0.500
B  0.500  0.500  0.000
Rh  0.500  0.500  0.500

Computed properties:
* SG: P4/mmm
* energy of formation from the pure elements: 61.3 kJ/mol of atoms